[1]
The following is a DFT calculation (PBE-GGA) of a relaxed La2AsW crystal.

Cell lengths 4.4450, 4.4450, 9.8955 Å; angles 90.00, 90.00, 90.00 degrees
Last column: nearest neighbours and their distance in Å.
Space group I-4m2 (No. 119)
Unique sites:
1 La 0.0000 0.0000 0.0000 [2 per cell]  4 As 3.14, 4 W 3.33, 4 La 3.33
2 La 0.0000 0.5000 0.2500 [2 per cell]  4 W 3.14, 4 As 3.33, 4 La 3.33
3 As 0.0000 0.0000 0.5000 [2 per cell]  8 La 3.14-3.33, 4 W 3.33
4 W 0.0000 0.5000 0.7500 [2 per cell]  8 La 3.14-3.33, 4 As 3.33



[2]
The following is a DFT calculation (PBE-GGA) of a relaxed La2AsW crystal.

Cell lengths 3.6648, 4.7245, 11.7353 Å; angles 90.00, 90.00, 90.00 degrees
Last column: nearest neighbours and their distance in Å.
Space group Imm2 (No. 44)
Unique sites:
1 La 0.0000 0.0000 0.0000 [2 per cell]  4 As 3.14
2 La 0.0000 0.5000 0.2291 [2 per cell]  4 W 3.02, 2 As 3.24
3 As 0.0000 0.0000 0.4180 [2 per cell]  2 W 2.58
4 W 0.0000 0.5000 0.7634 [2 per cell]  2 As 2.58



[3]
The following is a DFT calculation (PBE-GGA) of a relaxed La2AsW crystal.

Cell lengths 8.1455, 8.1455, 6.1194 Å; angles 90.00, 90.00, 90.00 degrees
Last column: nearest neighbours and their distance in Å.
Space group I-42d (No. 122)
Unique sites:
1 La 0.2228 0.2500 0.1250 [8 per cell]  2 W 2.83, 2 La 3.09, 2 As 3.14
2 As 0.0000 0.0000 0.5000 [4 per cell]  2 W 3.06, 4 La 3.14
3 W 0.0000 0.0000 0.0000 [4 per cell]  4 La 2.83, 2 As 3.06



[4]
The following is a DFT calculation (PBE-GGA) of a relaxed La2AsW crystal.

Cell lengths 3.4473, 3.4473, 8.7161 Å; angles 90.00, 90.00, 90.00 degrees
Last column: nearest neighbours and their distance in Å.
Space group P4mm (No. 99)
Unique sites:
1 La 0.0000 0.0000 0.0000 [1 per cell]  1 W 3.12, 4 As 3.20, 4 La 3.45
2 La 0.5000 0.5000 0.3957 [1 per cell]  1 As 3.20, 4 W 3.25, 4 La 3.45
3 As 0.5000 0.5000 0.7629 [1 per cell]  4 W 2.66
4 W 0.0000 0.0000 0.6420 [1 per cell]  4 As 2.66



[5]
The following is a DFT calculation (PBE-GGA) of a relaxed LaAs3W crystal.

Cell lengths 5.4905, 5.4905, 5.4905 Å; angles 90.00, 90.00, 90.00 degrees
Last column: nearest neighbours and their distance in Å.
Space group Pm-3m (No. 221)
Unique sites:
1 La 0.0000 0.0000 0.0000 [1 per cell]  6 As 2.75
2 As 0.0000 0.0000 0.5000 [3 per cell]  2 La 2.75
3 W 0.5000 0.5000 0.5000 [1 per cell]  12 As 3.88

distance to the lowest polymorph of the same formula = 1927 meV per atom



[6]
The following is a DFT calculation (PBE-GGA) of a relaxed LaY2As2 crystal.

Cell lengths 4.4295, 4.4295, 13.4524 Å; angles 90.00, 90.00, 90.00 degrees
Last column: nearest neighbours and their distance in Å.
Space group I4/mmm (No. 139)
Unique sites:
1 La 0.0000 0.0000 0.0000 [2 per cell]  8 As 3.45
2 Y 0.0000 0.5000 0.2500 [4 per cell]  4 As 2.93, 4 Y 3.13
3 As 0.0000 0.0000 0.3924 [4 per cell]  1 As 2.90, 4 Y 2.93

distance to the lowest polymorph of the same formula = 227 meV per atom



Formation energy from the elements / meV per atom: 173, -143, 359, -53, 1696, -935
Final energy / eV/atom: -6.69, -7.01, -6.51, -6.92, -4.67, -6.37